Record 1
A plane-wave DFT calculation with PBE-GGA was carried out for crystalline Tb6DyHo2Er at its relaxed geometry.

abc: 9.514 8.741 8.741
angles: 117.93 93.95 93.95
Sites, in units of the cell vectors:
Tb: 0.055 0.123 0.753
Tb: 0.445 0.247 0.877
Tb: 0.945 0.877 0.247
Tb: 0.555 0.753 0.123
Tb: 0.315 0.983 0.431
Tb: 0.185 0.569 0.017
Tb: 0.685 0.017 0.569
Tb: 0.815 0.431 0.983
Tb: 0.120 0.709 0.495
Tb: 0.380 0.505 0.291
Tb: 0.880 0.291 0.505
Tb: 0.620 0.495 0.709
Dy: 0.250 0.976 0.024
Dy: 0.750 0.024 0.976
Ho: 0.456 0.802 0.698
Ho: 0.044 0.302 0.198
Ho: 0.544 0.198 0.302
Ho: 0.956 0.698 0.802
Er: 0.250 0.409 0.591
Er: 0.750 0.591 0.409

Summary:
ρ ... 8.42 g cm⁻³
Density of states at the Fermi level ... 27.243 states/eV/cell
DFT formation energy ... 11.5 kJ per mole of atoms
Space-group type ... C2/c (15)
DFT total energy ... -0.3301 Ry/atom

---

Record 2
A plane-wave DFT calculation with PBE-GGA was carried out for crystalline Tb2Dy2HoEr2 at its relaxed geometry.

abc: 5.617 5.617 8.698
angles: 71.16 71.16 60.00
Sites, in units of the cell vectors:
Tb: 0.141 0.141 0.578
Tb: 0.859 0.859 0.422
Dy: 0.715 0.715 0.854
Dy: 0.285 0.285 0.146
Ho: 0.000 0.000 0.000
Er: 0.572 0.572 0.285
Er: 0.428 0.428 0.715

Summary:
ρ ... 8.60 g cm⁻³
Density of states at the Fermi level ... 17.365 states/eV/cell
DFT formation energy ... 13.8 kJ per mole of atoms
Space-group type ... R-3m (166)
DFT total energy ... -0.3272 Ry/atom

---

Record 3
A plane-wave DFT calculation with PBE-GGA was carried out for crystalline TbDy6HoEr2 at its relaxed geometry.

abc: 9.482 8.713 8.713
angles: 117.84 93.87 93.87
Sites, in units of the cell vectors:
Tb: 0.250 0.976 0.024
Tb: 0.750 0.024 0.976
Dy: 0.056 0.123 0.752
Dy: 0.444 0.248 0.877
Dy: 0.944 0.877 0.248
Dy: 0.556 0.752 0.123
Dy: 0.316 0.982 0.432
Dy: 0.184 0.568 0.018
Dy: 0.684 0.018 0.568
Dy: 0.816 0.432 0.982
Dy: 0.120 0.709 0.494
Dy: 0.380 0.506 0.291
Dy: 0.880 0.291 0.506
Dy: 0.620 0.494 0.709
Ho: 0.250 0.409 0.591
Ho: 0.750 0.591 0.409
Er: 0.455 0.802 0.698
Er: 0.045 0.302 0.198
Er: 0.545 0.198 0.302
Er: 0.955 0.698 0.802

Summary:
ρ ... 8.60 g cm⁻³
Density of states at the Fermi level ... 28.267 states/eV/cell
DFT formation energy ... 11.7 kJ per mole of atoms
Space-group type ... C2/c (15)
DFT total energy ... -0.3288 Ry/atom

---

Record 4
A plane-wave DFT calculation with PBE-GGA was carried out for crystalline TbDy2Ho2Er at its relaxed geometry.

abc: 3.349 6.519 17.548
angles: 90.00 90.00 90.00
Sites, in units of the cell vectors:
Tb: 0.500 0.500 0.000
Tb: 0.000 0.000 0.500
Dy: 0.500 0.267 0.317
Dy: 0.000 0.767 0.183
Dy: 0.500 0.733 0.683
Dy: 0.000 0.233 0.817
Ho: 0.500 0.769 0.352
Ho: 0.500 0.231 0.648
Ho: 0.000 0.731 0.852
Ho: 0.000 0.269 0.148
Er: 0.000 0.000 0.000
Er: 0.500 0.500 0.500

Summary:
ρ ... 8.51 g cm⁻³
Density of states at the Fermi level ... 17.857 states/eV/cell
DFT formation energy ... 27.0 kJ per mole of atoms
Space-group type ... Pnnm (58)
DFT total energy ... -0.3170 Ry/atom

---

Record 5
A plane-wave DFT calculation with PBE-GGA was carried out for crystalline Tb3DyHoEr at its relaxed geometry.

abc: 5.675 10.279 6.814
angles: 90.11 90.00 106.02
Sites, in units of the cell vectors:
Tb: 0.837 0.674 0.250
Tb: 0.781 0.562 0.748
Tb: 0.481 0.962 0.250
Tb: 0.219 0.438 0.252
Tb: 0.519 0.038 0.750
Tb: 0.163 0.326 0.750
Dy: 0.056 0.112 0.251
Dy: 0.944 0.888 0.749
Ho: 0.353 0.705 0.972
Ho: 0.647 0.295 0.028
Er: 0.647 0.294 0.472
Er: 0.353 0.706 0.528

Summary:
ρ ... 8.45 g cm⁻³
Density of states at the Fermi level ... 18.925 states/eV/cell
DFT formation energy ... 20.3 kJ per mole of atoms
Space-group type ... C2/m (12)
DFT total energy ... -0.3231 Ry/atom

---

Record 6
A plane-wave DFT calculation with PBE-GGA was carried out for crystalline Tb3Dy6Ho2Er at its relaxed geometry.

abc: 6.116 6.116 11.705
angles: 94.97 94.97 119.95
Sites, in units of the cell vectors:
Tb: 0.167 0.833 0.500
Tb: 0.833 0.167 0.500
Tb: 0.500 0.500 0.500
Dy: 0.917 0.584 0.751
Dy: 0.750 0.750 0.249
Dy: 0.083 0.416 0.249
Dy: 0.584 0.917 0.751
Dy: 0.250 0.250 0.751
Dy: 0.416 0.083 0.249
Ho: 0.333 0.667 0.000
Ho: 0.667 0.333 0.000
Er: 0.000 0.000 0.000

Summary:
ρ ... 8.66 g cm⁻³
Density of states at the Fermi level ... 15.532 states/eV/cell
DFT formation energy ... 1.6 kJ per mole of atoms
Space-group type ... C2/m (12)
DFT total energy ... -0.3370 Ry/atom

---

Record 7
A plane-wave DFT calculation with PBE-GGA was carried out for crystalline TbDy2HoEr2 at its relaxed geometry.

abc: 5.570 9.613 6.915
angles: 90.00 90.00 90.00
Sites, in units of the cell vectors:
Tb: 0.000 0.000 0.000
Tb: 0.500 0.500 0.500
Dy: 0.500 0.166 0.251
Dy: 0.000 0.666 0.249
Dy: 0.500 0.834 0.749
Dy: 0.000 0.334 0.751
Ho: 0.500 0.500 0.000
Ho: 0.000 0.000 0.500
Er: 0.500 0.833 0.250
Er: 0.500 0.167 0.750
Er: 0.000 0.667 0.750
Er: 0.000 0.333 0.250

Summary:
ρ ... 8.82 g cm⁻³
Density of states at the Fermi level ... 21.889 states/eV/cell
DFT formation energy ... 7.1 kJ per mole of atoms
Space-group type ... Pnnm (58)
DFT total energy ... -0.3319 Ry/atom

---

Record 8
A plane-wave DFT calculation with PBE-GGA was carried out for crystalline Tb3Dy6HoEr2 at its relaxed geometry.

abc: 6.113 6.113 11.700
angles: 94.97 94.97 119.95
Sites, in units of the cell vectors:
Tb: 0.167 0.833 0.500
Tb: 0.833 0.167 0.500
Tb: 0.500 0.500 0.500
Dy: 0.917 0.584 0.751
Dy: 0.750 0.750 0.249
Dy: 0.083 0.416 0.249
Dy: 0.584 0.917 0.751
Dy: 0.250 0.250 0.751
Dy: 0.416 0.083 0.249
Ho: 0.000 0.000 0.000
Er: 0.333 0.667 0.000
Er: 0.667 0.333 0.000

Summary:
ρ ... 8.68 g cm⁻³
Density of states at the Fermi level ... 15.590 states/eV/cell
DFT formation energy ... 1.6 kJ per mole of atoms
Space-group type ... C2/m (12)
DFT total energy ... -0.3369 Ry/atom

---

Record 9
A plane-wave DFT calculation with PBE-GGA was carried out for crystalline Tb2DyHoEr6 at its relaxed geometry.

abc: 9.492 8.672 8.672
angles: 118.00 94.21 94.21
Sites, in units of the cell vectors:
Tb: 0.456 0.805 0.700
Tb: 0.044 0.300 0.195
Tb: 0.544 0.195 0.300
Tb: 0.956 0.700 0.805
Dy: 0.250 0.978 0.022
Dy: 0.750 0.022 0.978
Ho: 0.250 0.408 0.592
Ho: 0.750 0.592 0.408
Er: 0.057 0.125 0.749
Er: 0.443 0.251 0.875
Er: 0.943 0.875 0.251
Er: 0.557 0.749 0.125
Er: 0.315 0.979 0.428
Er: 0.185 0.572 0.021
Er: 0.685 0.021 0.572
Er: 0.815 0.428 0.979
Er: 0.120 0.709 0.497
Er: 0.380 0.503 0.291
Er: 0.880 0.291 0.503
Er: 0.620 0.497 0.709

Summary:
ρ ... 8.78 g cm⁻³
Density of states at the Fermi level ... 27.310 states/eV/cell
DFT formation energy ... 11.6 kJ per mole of atoms
Space-group type ... C2/c (15)
DFT total energy ... -0.3279 Ry/atom

---

Record 10
A plane-wave DFT calculation with PBE-GGA was carried out for crystalline Tb2Dy6HoEr3 at its relaxed geometry.

abc: 6.105 6.105 11.683
angles: 94.97 94.97 119.94
Sites, in units of the cell vectors:
Tb: 0.333 0.667 0.000
Tb: 0.667 0.333 0.000
Dy: 0.916 0.583 0.749
Dy: 0.751 0.751 0.251
Dy: 0.084 0.417 0.251
Dy: 0.583 0.916 0.749
Dy: 0.249 0.249 0.749
Dy: 0.417 0.084 0.251
Ho: 0.000 0.000 0.000
Er: 0.167 0.833 0.500
Er: 0.833 0.167 0.500
Er: 0.500 0.500 0.500

Summary:
ρ ... 8.76 g cm⁻³
Density of states at the Fermi level ... 15.716 states/eV/cell
DFT formation energy ... 1.7 kJ per mole of atoms
Space-group type ... C2/m (12)
DFT total energy ... -0.3364 Ry/atom

---

Record 11
A plane-wave DFT calculation with PBE-GGA was carried out for crystalline TbDy6Ho2Er3 at its relaxed geometry.

abc: 6.100 6.100 11.671
angles: 94.97 94.97 119.94
Sites, in units of the cell vectors:
Tb: 0.000 0.000 0.000
Dy: 0.916 0.583 0.749
Dy: 0.750 0.750 0.251
Dy: 0.084 0.417 0.251
Dy: 0.583 0.916 0.749
Dy: 0.250 0.250 0.749
Dy: 0.417 0.084 0.251
Ho: 0.333 0.667 0.000
Ho: 0.667 0.333 0.000
Er: 0.167 0.833 0.500
Er: 0.833 0.167 0.500
Er: 0.500 0.500 0.500

Summary:
ρ ... 8.81 g cm⁻³
Density of states at the Fermi level ... 15.777 states/eV/cell
DFT formation energy ... 1.7 kJ per mole of atoms
Space-group type ... C2/m (12)
DFT total energy ... -0.3361 Ry/atom

---

Record 12
A plane-wave DFT calculation with PBE-GGA was carried out for crystalline Tb2Dy6HoEr at its relaxed geometry.

abc: 9.531 8.719 8.719
angles: 118.04 94.16 94.16
Sites, in units of the cell vectors:
Tb: 0.456 0.803 0.699
Tb: 0.044 0.301 0.197
Tb: 0.544 0.197 0.301
Tb: 0.956 0.699 0.803
Dy: 0.056 0.124 0.751
Dy: 0.444 0.249 0.876
Dy: 0.944 0.876 0.249
Dy: 0.556 0.751 0.124
Dy: 0.314 0.981 0.429
Dy: 0.186 0.571 0.019
Dy: 0.686 0.019 0.571
Dy: 0.814 0.429 0.981
Dy: 0.120 0.710 0.497
Dy: 0.380 0.503 0.290
Dy: 0.880 0.290 0.503
Dy: 0.620 0.497 0.710
Ho: 0.250 0.978 0.022
Ho: 0.750 0.022 0.978
Er: 0.250 0.408 0.592
Er: 0.750 0.592 0.408

Summary:
ρ ... 8.52 g cm⁻³
Density of states at the Fermi level ... 26.909 states/eV/cell
DFT formation energy ... 11.5 kJ per mole of atoms
Space-group type ... C2/c (15)
DFT total energy ... -0.3295 Ry/atom

---

Record 13
A plane-wave DFT calculation with PBE-GGA was carried out for crystalline TbDyHo5Er2 at its relaxed geometry.

abc: 5.545 10.220 10.484
angles: 90.00 90.00 105.74
Sites, in units of the cell vectors:
Tb: 0.800 0.600 0.511
Tb: 0.200 0.400 0.011
Dy: 0.586 0.172 0.955
Dy: 0.414 0.828 0.455
Ho: 0.391 0.781 0.023
Ho: 0.719 0.437 0.809
Ho: 0.479 0.958 0.738
Ho: 0.300 0.600 0.708
Ho: 0.982 0.964 0.525
Ho: 0.609 0.219 0.523
Ho: 0.281 0.563 0.309
Ho: 0.521 0.042 0.238
Ho: 0.700 0.400 0.208
Ho: 0.018 0.036 0.025
Er: 0.887 0.773 0.818
Er: 0.110 0.219 0.737
Er: 0.113 0.227 0.318
Er: 0.890 0.781 0.237

Summary:
ρ ... 8.60 g cm⁻³
Density of states at the Fermi level ... 28.522 states/eV/cell
DFT formation energy ... 15.3 kJ per mole of atoms
Space-group type ... Cmc2_1 (36)
DFT total energy ... -0.3252 Ry/atom

---

Record 14
A plane-wave DFT calculation with PBE-GGA was carried out for crystalline Tb2DyHoEr5 at its relaxed geometry.

abc: 5.539 10.194 10.492
angles: 90.00 90.00 105.77
Sites, in units of the cell vectors:
Tb: 0.887 0.773 0.819
Tb: 0.110 0.221 0.736
Tb: 0.113 0.227 0.319
Tb: 0.890 0.779 0.236
Dy: 0.586 0.172 0.957
Dy: 0.414 0.828 0.457
Ho: 0.800 0.599 0.511
Ho: 0.200 0.401 0.011
Er: 0.389 0.778 0.022
Er: 0.718 0.436 0.808
Er: 0.479 0.959 0.738
Er: 0.300 0.600 0.709
Er: 0.982 0.963 0.524
Er: 0.611 0.222 0.522
Er: 0.282 0.564 0.308
Er: 0.521 0.041 0.238
Er: 0.700 0.400 0.209
Er: 0.018 0.037 0.024

Summary:
ρ ... 8.63 g cm⁻³
Density of states at the Fermi level ... 26.674 states/eV/cell
DFT formation energy ... 14.9 kJ per mole of atoms
Space-group type ... Cmc2_1 (36)
DFT total energy ... -0.3256 Ry/atom

---

Record 15
A plane-wave DFT calculation with PBE-GGA was carried out for crystalline DyHo2Er3Te6 at its relaxed geometry.

abc: 4.311 8.698 9.684
angles: 103.28 102.86 90.00
Sites, in units of the cell vectors:
Dy: 0.500 0.000 0.000
Ho: 0.834 0.668 0.668
Ho: 0.166 0.332 0.332
Er: 0.500 0.500 0.000
Er: 0.834 0.167 0.668
Er: 0.166 0.833 0.332
Te: 0.332 0.918 0.665
Te: 0.667 0.584 0.333
Te: 0.668 0.082 0.335
Te: 0.000 0.252 0.999
Te: 0.000 0.748 0.001
Te: 0.333 0.416 0.667

Summary:
ρ ... 8.49 g cm⁻³
Density of states at the Fermi level ... 6.195 states/eV/cell
E_form (uncorrected) ... -14.80 eV/f.u.
Space-group type ... C2/m (12)
DFT total energy ... -0.3742 Ry/atom

---

Record 16
A plane-wave DFT calculation with PBE-GGA was carried out for crystalline DyHo3Er3Te8 at its relaxed geometry.

abc: 8.622 8.621 8.624
angles: 119.99 90.00 119.99
Sites, in units of the cell vectors:
Dy: 0.000 0.000 0.500
Ho: 0.500 0.000 0.500
Ho: 0.500 0.500 0.500
Ho: 0.000 0.500 0.500
Er: 0.000 0.000 0.000
Er: 0.000 0.500 0.000
Er: 0.500 0.500 0.000
Te: 0.249 0.499 0.249
Te: 0.751 0.501 0.751
Te: 0.743 0.487 0.242
Te: 0.257 0.513 0.758
Te: 0.743 0.999 0.242
Te: 0.257 0.001 0.758
Te: 0.256 0.999 0.242
Te: 0.744 0.001 0.758

Summary:
ρ ... 7.98 g cm⁻³
Density of states at the Fermi level ... 6.629 states/eV/cell
E_form (uncorrected) ... -19.91 eV/f.u.
Space-group type ... R-3m (166)
DFT total energy ... -0.3776 Ry/atom

---

Record 17
A plane-wave DFT calculation with PBE-GGA was carried out for crystalline DyHoEr2Te6 at its relaxed geometry.

abc: 7.651 7.651 8.269
angles: 62.45 62.45 60.00
Sites, in units of the cell vectors:
Dy: 0.823 0.823 0.531
Ho: 0.323 0.323 0.030
Er: 0.508 0.508 0.475
Er: 0.008 0.008 0.975
Te: 0.603 0.233 0.251
Te: 0.233 0.914 0.251
Te: 0.914 0.603 0.251
Te: 0.413 0.732 0.751
Te: 0.732 0.104 0.751
Te: 0.104 0.413 0.751

Summary:
ρ ... 6.69 g cm⁻³
E_form (uncorrected) ... -13.51 eV/f.u.
Space-group type ... R3 (146)
DFT total energy ... -0.3724 Ry/atom

---

Record 18
A plane-wave DFT calculation with PBE-GGA was carried out for crystalline Dy3HoEr3Te8 at its relaxed geometry.

abc: 8.639 8.639 8.638
angles: 120.00 90.00 120.00
Sites, in units of the cell vectors:
Dy: 0.000 0.000 0.000
Dy: 0.000 0.500 0.000
Dy: 0.500 0.500 0.000
Ho: 0.000 0.000 0.500
Er: 0.500 0.000 0.500
Er: 0.500 0.500 0.500
Er: 0.000 0.500 0.500
Te: 0.251 0.502 0.253
Te: 0.749 0.498 0.747
Te: 0.744 0.489 0.246
Te: 0.256 0.511 0.754
Te: 0.744 0.002 0.246
Te: 0.256 0.998 0.754
Te: 0.258 0.002 0.246
Te: 0.742 0.998 0.754

Summary:
ρ ... 7.92 g cm⁻³
Density of states at the Fermi level ... 6.635 states/eV/cell
E_form (uncorrected) ... -20.04 eV/f.u.
Space-group type ... R-3m (166)
DFT total energy ... -0.3785 Ry/atom

---

Record 19
A plane-wave DFT calculation with PBE-GGA was carried out for crystalline DyHo2ErTe6 at its relaxed geometry.

abc: 7.657 7.657 8.278
angles: 62.45 62.45 60.00
Sites, in units of the cell vectors:
Dy: 0.823 0.823 0.530
Ho: 0.509 0.509 0.473
Ho: 0.009 0.009 0.974
Er: 0.324 0.324 0.029
Te: 0.600 0.231 0.251
Te: 0.231 0.917 0.251
Te: 0.917 0.600 0.251
Te: 0.415 0.730 0.752
Te: 0.730 0.103 0.752
Te: 0.103 0.415 0.752

Summary:
ρ ... 6.66 g cm⁻³
E_form (uncorrected) ... -13.53 eV/f.u.
Space-group type ... R3 (146)
DFT total energy ... -0.3726 Ry/atom

---

For each record above, in turn, the calculated M_tot values are 0.00 0.02 0.00 0.00 0.00 0.00 0.00 0.00 0.00 0.00 0.00 0.00 0.00 0.00 0.00 0.01 0.00 0.00 0.00 μB per formula unit.